[1]
Here is crystalline K2TmAlS4 at its relaxed geometry from Alexandria. Energies are from PBE.

The structure belongs to space group Imma (No. 74); the cell edges are 7.8518, 8.2194 and 11.4172 Å and the angles 90.00°, 90.00° and 90.00°. The asymmetric unit holds K at (0.0000, 0.0000, 0.0000), K at (0.2500, 0.2500, 0.2500), Tm at (0.0000, 0.0000, 0.5000), Al at (0.2500, 0.2500, 0.7500), S at (0.0000, 0.0495, 0.7393) and S at (0.2259, 0.2500, 0.5251).

Its calculated density is 3.6 g/cm3. The uncorrected energy comes out at -4.76 eV per atom. The calculation puts the total magnetization at 0.000 μB/f.u.

[2]
Here is crystalline KUAl2S6 at its relaxed geometry from Alexandria. Energies are from PBE.

The structure belongs to space group C2/c (No. 15); the cell edges are 13.1400, 12.4844 and 7.1516 Å and the angles 90.00°, 109.88° and 90.00°. The asymmetric unit holds K at (0.0000, 0.0800, 0.2500), U at (0.0000, 0.2826, 0.7500), Al at (0.2026, 0.4198, 0.1196), S at (0.0864, 0.2898, 0.1239), S at (0.1273, 0.1269, 0.7086) and S at (0.1610, 0.4335, 0.7807).

Its calculated density is 3.2 g/cm3. The uncorrected energy comes out at -5.60 eV per atom. The calculation puts the total magnetization at 1.001 μB/f.u.

[3]
Here is crystalline K2UAlS5 at its relaxed geometry from Alexandria. Energies are from PBE.

The structure belongs to space group Cmc2_1 (No. 36); the cell edges are 3.9999, 18.2543 and 14.0520 Å and the angles 90.00°, 90.00° and 90.00°. The asymmetric unit holds K at (0.0000, 0.1000, 0.0000), K at (0.0000, 0.1224, 0.6567), U at (0.0000, 0.2085, 0.3589), Al at (0.0000, 0.4319, 0.7502), S at (0.0000, 0.0590, 0.3449), S at (0.0000, 0.2935, 0.9800), S at (0.0000, 0.3054, 0.7290), S at (0.0000, 0.3411, 0.3370) and S at (0.0000, 0.4936, 0.6211).

Its calculated density is 3.3 g/cm3. The uncorrected energy comes out at -5.46 eV per atom. The calculation puts the total magnetization at 0.992 μB/f.u.

[4]
Here is crystalline K3U3AlS8 at its relaxed geometry from Alexandria. Energies are from PBE.

The structure belongs to space group R-3m (No. 166, hexagonal axes); the cell edges are 7.8907, 7.8907 and 22.6015 Å and the angles 90.00°, 90.00° and 120.00°. The asymmetric unit holds K at (0.0000, 0.5000, 0.0000), U at (0.0000, 0.5000, 0.5000), Al at (0.0000, 0.0000, 0.5000), S at (0.0000, 0.0000, 0.2355) and S at (0.0263, 0.5132, 0.2283).

Its calculated density is 4.6 g/cm3. The uncorrected energy comes out at -6.24 eV per atom. The calculation puts the total magnetization at 7.942 μB/f.u.

[5]
Here is crystalline K2UAlS6 at its relaxed geometry from Alexandria. Energies are from PBE.

The structure belongs to space group Fm-3m (No. 225); the cell edges are 9.8777, 9.8777 and 9.8777 Å and the angles 90.00°, 90.00° and 90.00°. The asymmetric unit holds K at (0.2500, 0.2500, 0.2500), U at (0.0000, 0.0000, 0.0000), Al at (0.0000, 0.0000, 0.5000) and S at (0.0000, 0.0000, 0.2569).

Its calculated density is 3.7 g/cm3. The uncorrected energy comes out at -5.27 eV per atom. The calculation puts the total magnetization at 0.000 μB/f.u.

[6]
Here is crystalline K2UAlS4 at its relaxed geometry from Alexandria. Energies are from PBE.

The structure belongs to space group I-4 (No. 82); the cell edges are 7.1733, 7.1733 and 9.6786 Å and the angles 90.00°, 90.00° and 90.00°. The asymmetric unit holds K at (0.0000, 0.0000, 0.0000), K at (0.0000, 0.5000, 0.2500), U at (0.0000, 0.5000, 0.7500), Al at (0.0000, 0.0000, 0.5000) and S at (0.1663, 0.2161, 0.6212).

Its calculated density is 3.1 g/cm3. The uncorrected energy comes out at -5.36 eV per atom. The calculation puts the total magnetization at 3.000 μB/f.u.

no.,formation energy without anion corrections (eV per atom)
1,-1.392
2,-1.134
3,-1.256
4,-1.311
5,-1.066
6,-1.139